SmHo4Er5 after structural relaxation. Source: Alexandria, functional PBE.

Values from the calculation:
ΔE_f: 0.308 eV per atom
Raw total energy: -0.1571 Ha/atom
Density: 8.53 g/cm3

```
SmHo4Er5
1.0
-5.061 5.061 3.130
5.061 -5.061 3.130
5.061 5.061 -3.130
Sm Ho Er
1 4 5
direct
0.000 0.000 0.000
0.180 0.881 0.602
0.279 0.578 0.398
0.578 0.180 0.299
0.881 0.279 0.701
0.457 0.457 0.000
0.494 0.871 0.911
0.583 0.494 0.623
0.871 0.960 0.377
0.960 0.583 0.089
```